(1)
First-principles (GGA-PBE) data for a geometry-optimized MgAg2Pb structure, as listed in Alexandria via LeMat-Bulk.

Cell and atoms, written as POSCAR:
```
MgAg2Pb
1.0
-0.1954 3.0338 -3.2353
1.9879 -2.8358 -2.7777
-3.8286 -1.5170 -1.1912
Ag Mg Pb
2 1 1
Direct
0.0000 0.0000 0.0000
0.5000 0.5000 0.0000
0.5000 0.0000 0.5000
0.0000 0.5000 0.5000
```

Output
The formation energy is -0.65 kcal/mol of atoms. Its calculated volume is 21.1 Å³ per atom. For the magnetization, the calculation gives 0.0 μB/f.u.


(2)
First-principles (GGA-PBE) data for a geometry-optimized Mg2Ag2Pb structure, as listed in Alexandria via LeMat-Bulk.

Cell and atoms, written as POSCAR:
```
Mg2Ag2Pb
1.0
-5.1554 -5.5845 3.1795
3.3910 -5.8266 -4.7356
2.1125 -0.6403 2.3005
Pb Mg Ag
2 4 4
Direct
0.0000 0.0000 0.0000
0.5000 0.5000 0.0000
0.3652 0.8652 0.0000
0.8652 0.6348 0.0000
0.6348 0.1348 0.0000
0.1348 0.3652 0.0000
0.1584 0.6584 0.5000
0.6584 0.8416 0.5000
0.8416 0.3416 0.5000
0.3416 0.1584 0.5000
```

Output
The energy above the most stable polymorph in this dataset comes out at 1.04 kcal/mol of atoms. The formation energy is -1.70 kcal/mol of atoms. Its calculated volume is 21.6 Å³ per atom. For the magnetization, the calculation gives 0.0 μB/f.u.


(3)
First-principles (GGA-PBE) data for a geometry-optimized MgAg2Pb structure, as listed in Alexandria via LeMat-Bulk.

Cell and atoms, written as POSCAR:
```
MgAg2Pb
1.0
4.7010 0.0000 0.0000
0.0000 3.2995 0.0222
0.0000 1.7870 5.6928
Ag Mg Pb
2 1 1
Direct
0.0000 0.1931 0.9944
0.5000 0.0434 0.2822
0.0000 0.4615 0.4279
0.5000 0.8020 0.7954
```

Output
The formation energy is -0.59 kcal/mol of atoms. Its calculated volume is 22.0 Å³ per atom. For the magnetization, the calculation gives 0.0 μB/f.u.


(4)
First-principles (GGA-PBE) data for a geometry-optimized MgAgPb structure, as listed in Alexandria via LeMat-Bulk.

Cell and atoms, written as POSCAR:
```
MgAgPb
1.0
5.5915 1.1984 0.9549
3.8554 4.2283 0.9335
1.2455 0.7665 7.5407
Mg Ag Pb
2 2 2
Direct
0.0255 0.5254 0.7758
0.9745 0.4746 0.2242
0.6504 0.1504 0.9647
0.3496 0.8496 0.0353
0.6668 0.1669 0.3736
0.3332 0.8331 0.6264
```

Output
The formation energy is -1.70 kcal/mol of atoms. Its calculated volume is 23.1 Å³ per atom. For the magnetization, the calculation gives 0.0 μB/f.u.


(5)
First-principles (GGA-PBE) data for a geometry-optimized Mg2AgPb structure, as listed in Alexandria via LeMat-Bulk.

Cell and atoms, written as POSCAR:
```
Mg2AgPb
1.0
-3.8566 3.1009 2.5723
-4.2876 -0.1895 3.5618
2.1049 1.0836 4.5202
Pb Mg Ag
1 2 1
Direct
0.4897 0.4897 0.4807
0.0154 0.0154 0.9585
0.2496 0.2496 0.2574
0.7452 0.7452 0.8035
```

Output
The formation energy is -1.65 kcal/mol of atoms. Its calculated volume is 22.7 Å³ per atom. For the magnetization, the calculation gives 0.0 μB/f.u.


(6)
First-principles (GGA-PBE) data for a geometry-optimized Mg6AgPb3 structure, as listed in Alexandria via LeMat-Bulk.

Cell and atoms, written as POSCAR:
```
Mg6AgPb3
1.0
-1.8659 7.1890 0.5742
-1.8199 2.8573 6.6345
4.6002 4.7833 3.3840
Mg Ag Pb
6 1 3
Direct
0.7601 0.7601 0.2399
0.2399 0.7601 0.7601
0.2399 0.7601 0.2399
0.7601 0.2399 0.2399
0.7601 0.2399 0.7601
0.2399 0.2399 0.7601
0.0000 0.0000 0.0000
0.7500 0.7500 0.7500
0.2500 0.2500 0.2500
0.5000 0.5000 0.5000
```

Output
The energy above the most stable polymorph in this dataset comes out at 6.47 kcal/mol of atoms. The formation energy is 4.98 kcal/mol of atoms. Its calculated volume is 29.2 Å³ per atom. For the magnetization, the calculation gives 0.0 μB/f.u.


(7)
First-principles (GGA-PBE) data for a geometry-optimized Mg2AgPb structure, as listed in Alexandria via LeMat-Bulk.

Cell and atoms, written as POSCAR:
```
Mg2AgPb
1.0
-3.9719 0.4841 6.8989
0.4528 -7.9204 0.8165
0.9270 -3.4073 5.3827
Pb Mg Ag
2 4 2
Direct
0.0000 0.0000 0.0000
0.7500 0.2500 0.5000
0.5909 0.1250 0.2500
0.1591 0.6250 0.2500
0.3750 0.4091 0.7500
0.8750 0.8409 0.7500
0.5000 0.5000 0.0000
0.2500 0.7500 0.5000
```

Output
The formation energy is 2.08 kcal/mol of atoms. Its calculated volume is 24.7 Å³ per atom. For the magnetization, the calculation gives 0.0 μB/f.u.


(8)
First-principles (GGA-PBE) data for a geometry-optimized Mg7AgPb4 structure, as listed in Alexandria via LeMat-Bulk.

Cell and atoms, written as POSCAR:
```
Mg7AgPb4
1.0
5.2855 0.0000 0.0000
2.6428 8.4772 -0.5103
2.6428 -0.0648 7.2616
Mg Ag Pb
7 1 4
Direct
0.7832 0.8728 0.5608
0.2168 0.1272 0.4392
0.0777 0.7026 0.1419
0.9223 0.2974 0.8581
0.3529 0.5857 0.7084
0.5000 0.0000 0.0000
0.6471 0.4143 0.2915
0.0000 0.0000 0.0000
0.5675 0.2304 0.6346
0.4325 0.7696 0.3654
0.7252 0.6620 0.8875
0.2748 0.3380 0.1125
```

Output
The formation energy is 1.62 kcal/mol of atoms. Its calculated volume is 27.1 Å³ per atom. For the magnetization, the calculation gives 0.0 μB/f.u.


(9)
First-principles (GGA-PBE) data for a geometry-optimized Mg12Ag6Pb structure, as listed in Alexandria via LeMat-Bulk.

Cell and atoms, written as POSCAR:
```
Mg12Ag6Pb
1.0
7.6290 0.0000 -2.6972
-3.8145 6.6069 -2.6972
0.0000 0.0000 8.0917
Mg Ag Pb
12 6 1
Direct
0.2786 0.0965 0.8179
0.2786 0.4607 0.1821
0.7214 0.5393 0.8179
0.7214 0.9035 0.1821
0.0965 0.8179 0.2786
0.4607 0.1821 0.2786
0.5393 0.8179 0.7214
0.9035 0.1821 0.7214
0.8179 0.2786 0.0965
0.1821 0.2786 0.4607
0.8179 0.7214 0.5393
0.1821 0.7214 0.9035
0.3551 0.5000 0.8551
0.6449 0.5000 0.1449
0.5000 0.8551 0.3551
0.5000 0.1449 0.6449
0.8551 0.3551 0.5000
0.1449 0.6449 0.5000
0.0000 0.0000 0.0000
```

Output
The formation energy is -1.24 kcal/mol of atoms. Its calculated volume is 21.5 Å³ per atom. For the magnetization, the calculation gives 0.0 μB/f.u.


(10)
First-principles (GGA-PBE) data for a geometry-optimized Mg2AgPb2 structure, as listed in Alexandria via LeMat-Bulk.

Cell and atoms, written as POSCAR:
```
Mg2AgPb2
1.0
-1.4019 3.2455 1.9981
-3.7471 -0.7847 -1.3544
-3.9788 -3.4307 6.9075
Pb Mg Ag
2 2 1
Direct
0.4009 0.4009 0.1982
0.5991 0.5991 0.8018
0.7500 0.2500 0.5000
0.2500 0.7500 0.5000
0.0000 0.0000 0.0000
```

Output
The energy above the most stable polymorph in this dataset comes out at 4.29 kcal/mol of atoms. The formation energy is 4.98 kcal/mol of atoms. Its calculated volume is 27.0 Å³ per atom. For the magnetization, the calculation gives 0.0 μB/f.u.


(11)
First-principles (GGA-PBE) data for a geometry-optimized MgAg2Pb structure, as listed in Alexandria via LeMat-Bulk.

Cell and atoms, written as POSCAR:
```
MgAg2Pb
1.0
7.9888 0.0000 0.0000
0.0000 7.9888 0.0000
3.9944 3.9944 2.9391
Pb Mg Ag
2 2 4
Direct
0.0000 0.0000 0.0000
0.7500 0.2500 0.5000
0.5000 0.5000 0.0000
0.2500 0.7500 0.5000
0.6050 0.1250 0.2500
0.1450 0.6250 0.2500
0.3750 0.3950 0.7500
0.8750 0.8550 0.7500
```

Output
The formation energy is 3.68 kcal/mol of atoms. Its calculated volume is 23.4 Å³ per atom. For the magnetization, the calculation gives 0.0 μB/f.u.


(12)
First-principles (GGA-PBE) data for a geometry-optimized MgAg2Pb structure, as listed in Alexandria via LeMat-Bulk.

Cell and atoms, written as POSCAR:
```
MgAg2Pb
1.0
-1.9431 1.6540 -4.7581
-5.3651 0.5527 0.2477
4.0000 1.8535 3.1413
Ag Mg Pb
2 1 1
Direct
0.0000 0.0000 0.0000
0.7502 0.2502 0.5000
0.5000 0.5000 0.0000
0.2499 0.7499 0.5000
```

Output
The formation energy is -0.65 kcal/mol of atoms. Its calculated volume is 21.2 Å³ per atom. For the magnetization, the calculation gives 0.0 μB/f.u.


(13)
First-principles (GGA-PBE) data for a geometry-optimized Mg8Ag2Pb structure, as listed in Alexandria via LeMat-Bulk.

Cell and atoms, written as POSCAR:
```
Mg8Ag2Pb
1.0
4.6084 0.0304 -1.3448
-0.9475 6.4700 -2.7972
0.0212 -0.3043 8.2841
Mg Ag Pb
8 2 1
Direct
0.6395 0.2285 0.9081
0.9676 0.0423 0.5797
0.2995 0.3709 0.2382
0.7615 0.9769 0.1584
0.3414 0.8547 0.3241
0.9265 0.4420 0.4953
0.1525 0.5128 0.9097
0.5116 0.7287 0.6610
0.7947 0.6158 0.2308
0.4682 0.2937 0.5857
0.1370 0.9337 0.9091
```

Output
The energy above the most stable polymorph in this dataset comes out at 0.00 kcal/mol of atoms. The formation energy is -1.80 kcal/mol of atoms. Its calculated volume is 22.1 Å³ per atom. For the magnetization, the calculation gives 0.0 μB/f.u.


(14)
First-principles (GGA-PBE) data for a geometry-optimized MgAgPb structure, as listed in Alexandria via LeMat-Bulk.

Cell and atoms, written as POSCAR:
```
MgAgPb
1.0
4.8347 0.0000 0.0000
-2.4174 4.1870 0.0000
0.0000 0.0000 3.5436
Ag Mg Pb
1 1 1
Direct
0.0000 0.0000 0.1731
0.3333 0.6667 0.1620
0.6667 0.3333 0.6649
```

Output
The formation energy is 0.39 kcal/mol of atoms. Its calculated volume is 23.9 Å³ per atom. For the magnetization, the calculation gives 0.0 μB/f.u.


(15)
First-principles (GGA-PBE) data for a geometry-optimized MgAg2Pb structure, as listed in Alexandria via LeMat-Bulk.

Cell and atoms, written as POSCAR:
```
MgAg2Pb
1.0
-5.2637 0.0385 -0.5166
-4.3414 -1.7844 2.4378
-1.5596 3.8467 2.8603
Ag Mg Pb
2 1 1
Direct
0.0083 0.0083 0.9791
0.7484 0.7484 0.7439
0.4885 0.4885 0.5394
0.2548 0.2548 0.2377
```

Output
The formation energy is -0.61 kcal/mol of atoms. Its calculated volume is 21.7 Å³ per atom. For the magnetization, the calculation gives 0.0 μB/f.u.


(16)
First-principles (GGA-PBE) data for a geometry-optimized Mg3AgPb structure, as listed in Alexandria via LeMat-Bulk.

Cell and atoms, written as POSCAR:
```
Mg3AgPb
1.0
-5.5765 2.7505 -3.1901
-1.6152 -6.2846 -2.5950
-3.8901 -1.3334 5.6505
Mg Ag Pb
9 3 3
Direct
0.5000 0.5000 0.5000
0.2220 0.2220 0.2220
0.7780 0.7780 0.2220
0.7780 0.2220 0.7780
0.2220 0.7780 0.7780
0.2220 0.2220 0.7780
0.7780 0.7780 0.7780
0.2220 0.7780 0.2220
0.7780 0.2220 0.2220
0.5000 0.0000 0.0000
0.0000 0.5000 0.0000
0.0000 0.0000 0.5000
0.0000 0.5000 0.5000
0.5000 0.0000 0.5000
0.5000 0.5000 0.0000
```

Output
The energy above the most stable polymorph in this dataset comes out at 0.00 kcal/mol of atoms. The formation energy is -1.83 kcal/mol of atoms. Its calculated volume is 22.8 Å³ per atom. For the magnetization, the calculation gives 0.0 μB/f.u.


(17)
First-principles (GGA-PBE) data for a geometry-optimized MgAg2Pb structure, as listed in Alexandria via LeMat-Bulk.

Cell and atoms, written as POSCAR:
```
MgAg2Pb
1.0
-3.0600 1.5347 -1.1763
-0.9567 -3.1152 -1.5757
-3.0271 -1.8395 5.4747
Ag Mg Pb
2 1 1
Direct
0.0000 0.0000 0.0294
0.5000 0.5000 0.2507
0.0000 0.0000 0.4610
0.5000 0.5000 0.7589
```

Output
The formation energy is -0.67 kcal/mol of atoms. Its calculated volume is 21.4 Å³ per atom. For the magnetization, the calculation gives 0.0 μB/f.u.


(18)
First-principles (GGA-PBE) data for a geometry-optimized MgAgPb structure, as listed in Alexandria via LeMat-Bulk.

Cell and atoms, written as POSCAR:
```
MgAgPb
1.0
-1.0655 3.4065 0.5815
-3.5622 0.1291 3.9620
8.6037 4.3386 1.5930
Mg Ag Pb
2 2 2
Direct
0.7285 0.1283 0.4147
0.2715 0.8717 0.5853
0.9132 0.2315 0.9420
0.0868 0.7685 0.0580
0.1778 0.3980 0.2464
0.8222 0.6020 0.7536
```

Output
The formation energy is 1.05 kcal/mol of atoms. Its calculated volume is 24.0 Å³ per atom. For the magnetization, the calculation gives 0.0 μB/f.u.


(19)
First-principles (GGA-PBE) data for a geometry-optimized Mg2AgPb structure, as listed in Alexandria via LeMat-Bulk.

Cell and atoms, written as POSCAR:
```
Mg2AgPb
1.0
-8.4022 4.2895 3.8488
-9.7720 1.7867 2.2637
-8.6049 1.3643 5.2824
Ag Mg Pb
1 2 1
Direct
0.7500 0.7500 0.7500
0.0101 0.0101 0.0101
0.4899 0.4899 0.4899
0.2500 0.2500 0.2500
```

Output
The formation energy is -1.15 kcal/mol of atoms. Its calculated volume is 23.1 Å³ per atom. For the magnetization, the calculation gives 0.0 μB/f.u.


(20)
First-principles (GGA-PBE) data for a geometry-optimized Mg3AgPb structure, as listed in Alexandria via LeMat-Bulk.

Cell and atoms, written as POSCAR:
```
Mg3AgPb
1.0
-0.5263 -1.5303 -5.0990
-1.6765 -6.7348 2.1943
-5.2691 4.9337 -0.9368
Mg Ag Pb
6 2 2
Direct
0.2500 0.8088 0.1912
0.7500 0.1912 0.8088
0.2500 0.8087 0.6178
0.7500 0.1913 0.3822
0.2500 0.3822 0.1913
0.7500 0.6178 0.8087
0.0000 0.0000 0.0000
0.5000 0.0000 0.0000
0.2500 0.3336 0.6664
0.7500 0.6664 0.3336
```

Output
The energy above the most stable polymorph in this dataset comes out at 1.99 kcal/mol of atoms. The formation energy is 0.16 kcal/mol of atoms. Its calculated volume is 24.6 Å³ per atom. For the magnetization, the calculation gives 0.0 μB/f.u.


(21)
First-principles (GGA-PBE) data for a geometry-optimized Mg5AgPb4 structure, as listed in Alexandria via LeMat-Bulk.

Cell and atoms, written as POSCAR:
```
Mg5AgPb4
1.0
3.4769 0.0000 0.0000
0.0000 3.4769 0.0000
0.0000 0.0000 20.3831
Mg Ag Pb
5 1 4
Direct
0.5000 0.5000 0.0758
0.5000 0.5000 0.2883
0.5000 0.5000 0.5000
0.5000 0.5000 0.7117
0.5000 0.5000 0.9242
0.0000 0.0000 0.0000
0.0000 0.0000 0.1818
0.0000 0.0000 0.3939
0.0000 0.0000 0.6061
0.0000 0.0000 0.8182
```

Output
The formation energy is -2.11 kcal/mol of atoms. Its calculated volume is 24.6 Å³ per atom. For the magnetization, the calculation gives 0.0 μB/f.u.


(22)
First-principles (GGA-PBE) data for a geometry-optimized MgAgPb structure, as listed in Alexandria via LeMat-Bulk.

Cell and atoms, written as POSCAR:
```
MgAgPb
1.0
-1.3089 -2.6552 1.5523
-0.7074 0.5474 -3.2535
13.5528 -6.9659 -0.2338
Mg Ag Pb
2 2 2
Direct
0.9032 0.5548 0.3626
0.8742 0.5059 0.7902
0.4427 0.6423 0.6498
0.6710 0.0943 0.5036
0.3350 0.4372 0.9727
0.0931 0.9432 0.1816
```

Output
The formation energy is 0.40 kcal/mol of atoms. Its calculated volume is 23.9 Å³ per atom. For the magnetization, the calculation gives 0.0 μB/f.u.


(23)
First-principles (GGA-PBE) data for a geometry-optimized MgAgPb structure, as listed in Alexandria via LeMat-Bulk.

Cell and atoms, written as POSCAR:
```
MgAgPb
1.0
-3.2736 -4.9566 2.3529
1.5042 -5.7074 2.6164
0.8594 6.3914 -0.3070
Ag Mg Pb
1 1 1
Direct
0.0162 0.0173 0.9989
0.6471 0.6441 0.0030
0.3366 0.3385 0.9981
```

Output
The formation energy is -1.28 kcal/mol of atoms. Its calculated volume is 23.2 Å³ per atom. For the magnetization, the calculation gives 0.0 μB/f.u.


(24)
First-principles (GGA-PBE) data for a geometry-optimized MgAg2Pb structure, as listed in Alexandria via LeMat-Bulk.

Cell and atoms, written as POSCAR:
```
MgAg2Pb
1.0
9.8344 0.0313 0.0184
9.2933 3.2174 0.0184
9.2933 1.5784 2.8037
Ag Mg Pb
2 1 1
Direct
0.9926 0.9926 0.9926
0.5074 0.5074 0.5074
0.2500 0.2500 0.2500
0.7500 0.7500 0.7500
```

Output
The formation energy is 0.09 kcal/mol of atoms. Its calculated volume is 21.8 Å³ per atom. For the magnetization, the calculation gives 0.0 μB/f.u.


(25)
First-principles (GGA-PBE) data for a geometry-optimized Mg6Ag12Pb structure, as listed in Alexandria via LeMat-Bulk.

Cell and atoms, written as POSCAR:
```
Mg6Ag12Pb
1.0
7.1494 0.4778 0.5724
-0.6116 7.1392 0.5724
-0.6116 -0.7125 7.1266
Mg Ag Pb
6 12 1
Direct
0.7236 0.8847 0.2999
0.7001 0.2764 0.1153
0.1153 0.7001 0.2764
0.2764 0.1153 0.7001
0.2999 0.7236 0.8847
0.8847 0.2999 0.7236
0.7963 0.5280 0.4290
0.4290 0.7963 0.5280
0.5280 0.4290 0.7963
0.2037 0.4720 0.5710
0.5710 0.2037 0.4720
0.4720 0.5710 0.2037
0.0212 0.1721 0.3782
0.8279 0.6218 0.9788
0.6218 0.9788 0.8279
0.9788 0.8279 0.6218
0.1721 0.3782 0.0212
0.3782 0.0212 0.1721
0.0000 0.0000 0.0000
```

Output
The formation energy is -1.48 kcal/mol of atoms. Its calculated volume is 19.5 Å³ per atom. For the magnetization, the calculation gives 0.0 μB/f.u.